DFT (PBE) results for a geometry-optimized NaLiLaGe structure.

It has space group F-43m (No. 216), with a = 7.314 Å, b = 7.314 Å, c = 7.314 Å, α = 90.00°, β = 90.00° and γ = 90.00°. Symmetry generates all atoms from Na at (0.000, 0.000, 0.000), Li at (0.250, 0.250, 0.750), La at (0.000, 0.000, 0.500) and Ge at (0.250, 0.250, 0.250).

The volume comes out at 24.453 A^3/atom. The value obtained for the calculated formation energy is -0.26 eV per atom. The total energy comes out at -55.3 eV/cell.

DFT (PBE) results for a geometry-optimized Li2La2NdGe2 structure.

It has space group R-3m (No. 166, hexagonal axes), with a = 4.5705 Å, b = 4.5705 Å, c = 27.6756 Å, α = 90.00°, β = 90.00° and γ = 120.00°. Symmetry generates all atoms from Li at (0.0000, 0.0000, 0.0989), La at (0.0000, 0.0000, 0.3675), Nd at (0.0000, 0.0000, 0.5000) and Ge at (0.0000, 0.0000, 0.2348).

The volume comes out at 23.842 A^3/atom. The value obtained for the calculated formation energy is -0.50 eV per atom. The total energy comes out at -93.7 eV/cell.

DFT (PBE) results for a geometry-optimized LiLa2Ni4Ge3 structure.

It has space group P-4m2 (No. 115), with a = 4.176 Å, b = 4.176 Å, c = 9.877 Å, α = 90.00°, β = 90.00° and γ = 90.00°. Symmetry generates all atoms from Li at (0.000, 0.000, 0.000), La at (0.000, 0.500, 0.749), Ni at (0.000, 0.000, 0.500), Ni at (0.000, 0.500, 0.131), Ni at (0.500, 0.500, 0.500), Ge at (0.000, 0.500, 0.375) and Ge at (0.500, 0.500, 0.000).

The volume comes out at 17.224 A^3/atom. The value obtained for the calculated formation energy is -0.61 eV per atom. The total energy comes out at -54.8 eV/cell.

DFT (PBE) results for a geometry-optimized Li2LaNiGe structure.

It has space group P4/mmm (No. 123), with a = 4.634 Å, b = 4.634 Å, c = 4.511 Å, α = 90.00°, β = 90.00° and γ = 90.00°. Symmetry generates all atoms from Li at (0.000, 0.500, 0.000), La at (0.000, 0.000, 0.500), Ni at (0.500, 0.500, 0.000) and Ge at (0.500, 0.500, 0.500).

The volume comes out at 19.375 A^3/atom. The value obtained for the calculated formation energy is -0.27 eV per atom. The total energy comes out at -20.5 eV/cell.

> volume of number 4 (Li2LaNiGe)?

19.375 A^3/atom